Here is Y2TcPd after structural relaxation from the Alexandria database. Energies are from PBE.

Unit cell a=2.972 b=5.454 c=10.746 alpha=90.00 beta=90.00 gamma=90.00
Space group Immm (No. 71)
Unique sites:
Y 0.000 0.000 0.247 (multiplicity 4)
Tc 0.000 0.000 0.500 (multiplicity 2)
Pd 0.000 0.000 0.000 (multiplicity 2)

Computed properties:
DOS at the Fermi energy, states/eV/cell: 8.0
Size of the total moment, μB per formula unit: 0.0
Energy of formation from the pure elements, eV per atom: 0.636
Crystal system: orthorhombic